Below is a relaxed structure of WSBr2, with properties calculated at the PBE level.

Lattice parameters (Å, degrees): 12.360 12.360 12.360 13.84 13.84 13.84
Last column: magnetic moment on the atom in μB.
Element x y z (fractional)
S 0.500 0.500 0.500  0.15
Br 0.933 0.933 0.933  0.01
Br 0.067 0.067 0.067  0.01
W 0.000 0.000 0.000  0.23

**Formation energy without anion corrections**: 0.8635 eV/atom
**Space group**: No. 166

---

Below is a relaxed structure of WS3Br, with properties calculated at the PBE level.

Lattice parameters (Å, degrees): 4.701 4.701 4.701 90.00 90.00 90.00
Element x y z (fractional)
S 0.000 0.500 0.000
S 0.000 0.000 0.500
S 0.500 0.000 0.000
Br 0.500 0.500 0.500
W 0.000 0.000 0.000

**Formation energy without anion corrections**: 0.1579 eV/atom
**Space group**: No. 221

---

Below is a relaxed structure of WSBr3, with properties calculated at the PBE level.

Lattice parameters (Å, degrees): 5.010 5.010 5.010 90.00 90.00 90.00
Element x y z (fractional)
S 0.500 0.500 0.500
Br 0.000 0.500 0.000
Br 0.000 0.000 0.500
Br 0.500 0.000 0.000
W 0.000 0.000 0.000

**Formation energy without anion corrections**: 0.6893 eV/atom
**Space group**: No. 221

---

Below is a relaxed structure of WSBr2, with properties calculated at the PBE level.

Lattice parameters (Å, degrees): 9.553 9.553 7.129 47.94 47.94 90.00
Last column: magnetic moment on the atom in μB.
Element x y z (fractional)
S 0.500 0.500 0.000  -0.02
S 0.250 0.750 0.500  -0.02
Br 0.771 0.125 0.250  0.00
Br 0.979 0.625 0.250  0.00
Br 0.375 0.229 0.750  0.00
Br 0.875 0.021 0.750  0.00
W 0.000 0.000 0.000  0.31
W 0.750 0.250 0.500  0.31

**Formation energy without anion corrections**: -0.0075 eV/atom
**Space group**: No. 122

---

Below is a relaxed structure of WSBr2, with properties calculated at the PBE level.

Lattice parameters (Å, degrees): 10.672 10.672 10.672 17.04 17.04 17.04
Element x y z (fractional)
S 0.000 0.000 0.000
Br 0.893 0.893 0.893
Br 0.107 0.107 0.107
W 0.500 0.500 0.500

**Formation energy without anion corrections**: 0.6038 eV/atom
**Space group**: No. 166

---

Below is a relaxed structure of WSBr2, with properties calculated at the PBE level.

Lattice parameters (Å, degrees): 4.677 4.677 4.677 60.00 60.00 60.00
Element x y z (fractional)
S 0.000 0.000 0.000
Br 0.250 0.250 0.250
Br 0.750 0.750 0.750
W 0.500 0.500 0.500

**Formation energy without anion corrections**: 1.1801 eV/atom
**Space group**: No. 225

---

Below is a relaxed structure of WS3Br, with properties calculated at the PBE level.

Lattice parameters (Å, degrees): 4.763 4.763 4.763 90.00 90.00 90.00
Last column: magnetic moment on the atom in μB.
Element x y z (fractional)
S 0.000 0.500 0.000  -0.19
S 0.000 0.000 0.500  -0.11
S 0.500 0.000 0.000  -0.12
Br 0.000 0.000 0.000  -0.01
W 0.500 0.500 0.500  2.90

**Formation energy without anion corrections**: 1.8387 eV/atom
**Space group**: No. 221

---

Below is a relaxed structure of WSBr3, with properties calculated at the PBE level.

Lattice parameters (Å, degrees): 5.158 5.158 5.158 90.00 90.00 90.00
Last column: magnetic moment on the atom in μB.
Element x y z (fractional)
S 0.000 0.000 0.000  -0.02
Br 0.000 0.500 0.000  0.00
Br 0.000 0.000 0.500  0.01
Br 0.500 0.000 0.000  0.01
W 0.500 0.500 0.500  3.52

**Formation energy without anion corrections**: 1.3895 eV/atom
**Space group**: No. 221

---

Computed energy above the lowest structure with this stoichiometry (meV/atom) in order:
871.1 0.0 0.0 0.0 611.3 1187.7 1680.8 700.2
Computed N(E_F) (states/eV/atom) in order:
1.380 1.289 0.815 0.634 0.488 0.872 0.796 1.302